# 1
A relaxed Pu2HfRu crystal, computed with GGA-PBE. Values from VASP.

Quantum ESPRESSO input file:
```
&SYSTEM
  ibrav = 0, nat = 4, ntyp = 3
/
ATOMIC_SPECIES
Pu 244.00 Pu.upf
Ru 101.07 Ru.upf
Hf 178.49 Hf.upf
CELL_PARAMETERS angstrom
-1.871 -0.302 -2.544
-2.790 -1.490 0.250
-6.103 8.308 1.525
ATOMIC_POSITIONS crystal
Pu 0.903 0.903 0.290
Pu 0.097 0.097 0.710
Ru 0.500 0.500 0.500
Hf 0.000 0.000 0.000
```

Values from the calculation:
- ΔE_f: 33.1 kJ/mol of atoms
- M_tot: 10.2 μB/f.u.


# 2
A relaxed PuHf2Ru crystal, computed with GGA-PBE. Values from VASP.

Quantum ESPRESSO input file:
```
&SYSTEM
  ibrav = 0, nat = 4, ntyp = 3
/
ATOMIC_SPECIES
Hf 178.49 Hf.upf
Pu 244.00 Pu.upf
Ru 101.07 Ru.upf
CELL_PARAMETERS angstrom
-2.251 2.001 -1.125
-2.192 -1.405 1.887
1.646 5.037 5.665
ATOMIC_POSITIONS crystal
Hf 0.000 0.000 0.210
Hf 0.000 0.000 0.790
Pu 0.500 0.500 0.500
Ru 0.500 0.500 0.000
```

Values from the calculation:
- ΔE_f: -27.9 kJ/mol of atoms
- M_tot: 5.2 μB/f.u.